Entry from Alexandria: an optimized crystal structure of CsNaPdO3 (PBE-GGA).

Lattice parameters (Å, degrees): 5.992 6.027 6.350 118.33 90.00 90.00
Atoms (fractional coordinates):
Cs1 0.750 0.277 0.554
Cs2 0.250 0.723 0.446
Na1 0.250 0.413 0.827
Na2 0.750 0.587 0.173
Pd1 0.250 0.025 0.050
Pd2 0.750 0.975 0.950
O1 0.250 0.203 0.405
O2 0.000 0.224 0.000
O3 0.500 0.776 0.000
O4 0.500 0.224 0.000
O5 0.000 0.776 0.000
O6 0.750 0.797 0.595

Output
The value obtained for the total energy is -54.6 eV per cell. Its crystal system is orthorhombic. The uncorrected formation energy is -0.84 eV per atom. The space group is Cmcm.